Density functional theory data (PBE-GGA) for a geometry-optimized SmEuNi structure.

Values from the calculation:
- Mass density: 6.84 g cm⁻³
- E: -0.2572 hartree per atom
- Volume: 29.20 Å³ per atom
- SG: P3m1
- N(E_F): 6.19 states/eV/f.u.
- Offset from the most stable computed form: 55 meV per atom

Unit cell a=6.0332 b=4.0949 c=4.0949 alpha=120.00 beta=90.00 gamma=90.00
Positions (direct):
Eu: 0.7476 0.6667 0.3333
Ni: 0.0150 0.0000 0.0000
Sm: 0.2373 0.3333 0.6667